This record from Alexandria via LeMat-Bulk describes crystalline Ac8LaHo4 at its relaxed geometry. The functional is PBE.

Its energy of formation from the pure elements is 5.12 eV per formula unit.

It has space group R-3m (No. 166, hexagonal axes), with a = 11.8106 Å, b = 11.8106 Å, c = 14.4352 Å, α = 90.00°, β = 90.00° and γ = 120.00°. Symmetry generates all atoms from Ac at (0.0000, 0.0000, 0.2400), Ac at (0.0129, 0.5064, 0.7465), La at (0.0000, 0.0000, 0.5000), Ho at (0.0000, 0.0000, 0.0000) and Ho at (0.0000, 0.5000, 0.0000).